1.
FePt2W | meta-GGA SCAN | single point on PBEsol structure

a b c (Å): 2.7157 2.7157 7.7322
angles (deg): 90.00 90.00 90.00
Last column: magnetic moment on the atom in μB.
Atoms (fractional coordinates):
Pt (0.0000, 0.0000, 0.7425)  0.16
Pt (0.0000, 0.0000, 0.2575)  0.16
W (0.5000, 0.5000, 0.0000)  -0.01
Fe (0.5000, 0.5000, 0.5000)  3.25

Output
D(E_F): 0.40 states/eV per atom
Magnetization: 0.873 μB per atom
Calculated formation energy: -375 meV/atom


2.
Fe2PtW | meta-GGA SCAN | single point on PBEsol structure

a b c (Å): 2.6631 3.6653 5.3039
angles (deg): 90.00 90.00 90.00
Last column: magnetic moment on the atom in μB.
Atoms (fractional coordinates):
W (0.5000, 0.5000, 0.7742)  -0.48
Pt (0.0000, 0.0000, 0.4885)  -0.03
Fe (0.0000, 0.0000, 0.0107)  1.89
Fe (0.5000, 0.5000, 0.2267)  2.57

Output
D(E_F): 0.73 states/eV per atom
Magnetization: 0.956 μB per atom
Calculated formation energy: -62 meV/atom
Polymorph energy (0 for the lowest one): 87 meV/atom


3.
FePtW2 | meta-GGA SCAN | single point on PBEsol structure

a b c (Å): 3.8071 3.8071 4.7022
angles (deg): 113.88 113.88 90.00
Atoms (fractional coordinates):
W (0.7500, 0.2500, 0.5000)
W (0.2500, 0.7500, 0.5000)
Pt (0.0000, 0.0000, 0.0000)
Fe (0.5000, 0.5000, 0.0000)

Output
D(E_F): 0.46 states/eV per atom
Magnetization: 0.001 μB per atom
Calculated formation energy: -55 meV/atom
Polymorph energy (0 for the lowest one): 0 meV/atom